## Zn3Cd (SCAN)

Data for Zn3Cd at its PBEsol-relaxed geometry.

M_tot = 0.00 μB per formula unit
VASP energy = -17.64 eV/atom
density of states at the Fermi level = 0.94 states/eV/cell

Cell: 2.826 4.533 4.927 Å, 90.00 90.00 90.00°
Sites, in units of the cell vectors:
1 Zn 0.000 0.500 0.349
2 Zn 0.500 0.000 0.501
3 Zn 0.500 0.500 0.813
4 Cd 0.000 0.000 0.004